A PBEsol-optimized structure of ZnReHOs2, computed with meta-GGA SCAN.

Computed properties:
D(E_F)	4.48	states/eV per cell
energy	-3.3086	Ry/atom

abc: 4.7809 4.7809 3.1335
angles: 90.00 90.00 90.00
Space group P4/mmm (No. 123)
Unique sites:
Zn1 0.0000 0.0000 0.0000 [1 per cell]
Re1 0.5000 0.5000 0.5000 [1 per cell]
H1 0.5000 0.5000 0.0000 [1 per cell]
Os1 0.0000 0.5000 0.5000 [2 per cell]

A PBEsol-optimized structure of H2OsRh, computed with meta-GGA SCAN.

Computed properties:
D(E_F)	7.68	states/eV per cell
energy	-2.0405	Ry/atom

abc: 4.0791 4.0791 8.1896
angles: 90.00 90.00 90.00
Space group I-42d (No. 122)
Unique sites:
H1 0.2394 0.2500 0.1250 [8 per cell]
Os1 0.0000 0.0000 0.5000 [4 per cell]
Rh1 0.0000 0.0000 0.0000 [4 per cell]

A PBEsol-optimized structure of H2OsRh2, computed with meta-GGA SCAN.

Computed properties:
D(E_F)	5.20	states/eV per cell
energy	-2.1436	Ry/atom

abc: 2.7399 2.7399 12.4414
angles: 90.00 90.00 90.00
Space group I4/mmm (No. 139)
Unique sites:
H1 0.0000 0.5000 0.2500 [4 per cell]
Os1 0.0000 0.0000 0.0000 [2 per cell]
Rh1 0.0000 0.0000 0.3517 [4 per cell]

- energy of number 3 (H2OsRh2)?
  -2.1436 Ry/atom